An optimized crystal structure of NdRhPb. Source: the Alexandria database, functional PBE.

Cell lengths 4.7576, 4.7576, 3.7331 Å; angles 90.00, 90.00, 120.00 degrees
Space group P-6m2 (No. 187)
Unique sites:
Nd (0.0000, 0.0000, 0.0000) (multiplicity 1)
Rh (0.3333, 0.6667, 0.5000) (multiplicity 1)
Pb (0.6667, 0.3333, 0.5000) (multiplicity 1)

Calculated values
Density of states at the Fermi level ... 2.97 states/eV/f.u.
ΔH_f (0 K) ... -0.476 eV/atom